(1)
! NaSnTe2N (PBEsol, optimized geometry); values from VASP
! Density of states at the Fermi level ... 4.60 states/eV/f.u.
! Calculated total energy ... -3.861 eV/atom
! Formation energy (no corrections) ... 0.39 eV/atom
! Calculated volume ... 27.89 A^3/atom
&SYSTEM
  ibrav = 0, nat = 5, ntyp = 4
/
ATOMIC_SPECIES
Te 127.60 Te.upf
Sn 118.71 Sn.upf
N 14.01 N.upf
Na 22.99 Na.upf
CELL_PARAMETERS angstrom
-1.1988 3.1168 -1.8310
-0.6406 -3.2292 -5.0774
-5.7078 -1.2903 1.5408
ATOMIC_POSITIONS crystal
Te 0.0000 0.0000 0.5000
Te 0.0000 0.5000 0.0000
Sn 0.0000 0.0000 0.0000
N 0.5000 0.0000 0.0000
Na 0.5000 0.5000 0.5000

(2)
! NaSr3N (PBEsol, optimized geometry); values from VASP
! Density of states at the Fermi level ... 3.81 states/eV/f.u.
! Calculated total energy ... -3.381 eV/atom
! Formation energy (no corrections) ... -0.29 eV/atom
! Calculated volume ... 31.19 A^3/atom
&SYSTEM
  ibrav = 0, nat = 5, ntyp = 3
/
ATOMIC_SPECIES
Na 22.99 Na.upf
Sr 87.62 Sr.upf
N 14.01 N.upf
CELL_PARAMETERS angstrom
-3.9254 3.6131 -0.7132
0.5104 -0.4986 -5.3351
-3.6472 -3.9584 0.0210
ATOMIC_POSITIONS crystal
Na 0.5000 0.5000 0.5000
Sr 0.0000 0.5000 0.0000
Sr 0.5000 0.0000 0.0000
Sr 0.0000 0.0000 0.5000
N 0.0000 0.0000 0.0000

(3)
! NaSrN2 (PBEsol, optimized geometry); values from VASP
! Density of states at the Fermi level ... 1.28 states/eV/f.u.
! Calculated total energy ... -4.583 eV/atom
! Formation energy (no corrections) ... 0.49 eV/atom
! Calculated volume ... 14.68 A^3/atom
&SYSTEM
  ibrav = 0, nat = 4, ntyp = 3
/
ATOMIC_SPECIES
Na 22.99 Na.upf
Sr 87.62 Sr.upf
N 14.01 N.upf
CELL_PARAMETERS angstrom
-2.0620 3.6857 -1.0914
-1.3202 0.6255 -4.1101
-4.2560 -0.0843 -0.9604
ATOMIC_POSITIONS crystal
Na 0.5000 0.5000 0.5000
Sr 0.0000 0.0000 0.0000
N 0.7502 0.7502 0.7496
N 0.2498 0.2498 0.2504

(4)
! NaSrN (PBEsol, optimized geometry); values from VASP
! Density of states at the Fermi level ... 2.51 states/eV/f.u.
! Calculated total energy ... -4.086 eV/atom
! Formation energy (no corrections) ... -0.16 eV/atom
! Calculated volume ... 21.44 A^3/atom
&SYSTEM
  ibrav = 0, nat = 6, ntyp = 3
/
ATOMIC_SPECIES
Na 22.99 Na.upf
N 14.01 N.upf
Sr 87.62 Sr.upf
CELL_PARAMETERS angstrom
-0.1095 -0.6663 3.9012
3.4231 -0.3077 -1.9655
1.7519 9.1709 1.6155
ATOMIC_POSITIONS crystal
Na 0.6667 0.3333 0.7741
Na 0.3333 0.6667 0.2741
N 0.6667 0.3333 0.3887
N 0.3333 0.6667 0.8887
Sr 0.0000 0.0000 0.9926
Sr 0.0000 0.0000 0.4926

(5)
! NaTaN3 (PBEsol, optimized geometry); values from VASP
! Density of states at the Fermi level ... 2.38 states/eV/f.u.
! Calculated total energy ... -7.871 eV/atom
! Formation energy (no corrections) ... 0.03 eV/atom
! Calculated volume ... 13.60 A^3/atom
&SYSTEM
  ibrav = 0, nat = 5, ntyp = 3
/
ATOMIC_SPECIES
Ta 180.95 Ta.upf
N 14.01 N.upf
Na 22.99 Na.upf
CELL_PARAMETERS angstrom
-0.0516 4.0052 -0.7835
-3.5645 0.3374 1.9593
1.9875 0.7090 3.4936
ATOMIC_POSITIONS crystal
Ta 0.0000 0.0000 0.0000
N 0.5000 0.0000 0.0000
N 0.0000 0.5000 0.0000
N 0.0000 0.0000 0.5000
Na 0.5000 0.5000 0.5000

(6)
! NaTaN3 (PBEsol, optimized geometry); values from VASP
! Density of states at the Fermi level ... 3.64 states/eV/f.u.
! Calculated total energy ... -5.734 eV/atom
! Formation energy (no corrections) ... 2.17 eV/atom
! Calculated volume ... 10.66 A^3/atom
&SYSTEM
  ibrav = 0, nat = 5, ntyp = 3
/
ATOMIC_SPECIES
N 14.01 N.upf
Na 22.99 Na.upf
Ta 180.95 Ta.upf
CELL_PARAMETERS angstrom
3.7631 0.0000 0.0000
0.0000 3.7631 0.0000
0.0000 0.0000 3.7631
ATOMIC_POSITIONS crystal
N 0.5000 0.0000 0.0000
N 0.0000 0.5000 0.0000
N 0.0000 0.0000 0.5000
Na 0.0000 0.0000 0.0000
Ta 0.5000 0.5000 0.5000